# 1
The following is a PBE-GGA calculation of an optimized crystal structure of IrRhAuI, from Alexandria.

E_tot (eV/cell): -18.73
Density of states at the Fermi level (states/eV/atom): 0.71
Space-group type: Pm

```
data_IrRhAuI
_space_group_name_H-M_alt 'P 1'
_space_group_IT_number 1
_cell_length_a 4.498
_cell_length_b 3.169
_cell_length_c 5.419
_cell_angle_alpha 90.00
_cell_angle_beta 105.08
_cell_angle_gamma 90.00
loop_
_space_group_symop_operation_xyz
'x,y,z'
loop_
_atom_site_label
_atom_site_type_symbol
_atom_site_fract_x
_atom_site_fract_y
_atom_site_fract_z
Rh1 Rh 0.651 0.000 0.865
I1 I 0.120 0.500 0.771
Ir1 Ir 0.956 0.500 0.277
Au1 Au 0.477 0.000 0.333
```

***

# 2
The following is a PBE-GGA calculation of an optimized crystal structure of Sc2AlSb, from Alexandria.

E_tot (eV/cell): -22.99
Density of states at the Fermi level (states/eV/atom): 0.82
Space-group type: Amm2

```
data_Sc2AlSb
_space_group_name_H-M_alt 'P 1'
_space_group_IT_number 1
_cell_length_a 4.008
_cell_length_b 4.159
_cell_length_c 5.704
_cell_angle_alpha 68.61
_cell_angle_beta 90.00
_cell_angle_gamma 90.00
loop_
_space_group_symop_operation_xyz
'x,y,z'
loop_
_atom_site_label
_atom_site_type_symbol
_atom_site_fract_x
_atom_site_fract_y
_atom_site_fract_z
Sc1 Sc 0.500 0.258 0.359
Sb1 Sb 0.500 0.537 0.802
Sc2 Sc 0.000 0.985 0.905
Al1 Al 0.000 0.720 0.434
```